No. 1
InTcAg2: optimized geometry, PBE.

Summary:
**Spin magnetization**: 0.000 μB per cell
**Symmetry**: Cmmm, No. 65
**Volume**: 73 Å³ per cell
**Crystal system**: orthorhombic
**Energy**: -4.268 eV/atom
**Density of states at the Fermi level**: 2.75 states/eV per cell

Lattice parameters (Å, degrees): 2.8145 2.8145 9.1844 90.00 90.00 91.91
Fractional positions:
Ag (0.0000, 0.0000, 0.9833)
Ag (0.0000, 0.0000, 0.5167)
In (0.5000, 0.5000, 0.2500)
Tc (0.5000, 0.5000, 0.7500)



No. 2
In3TcAg: optimized geometry, PBE.

Summary:
**Spin magnetization**: 0.000 μB per cell
**Symmetry**: Pm-3m, No. 221
**Volume**: 139 Å³ per cell
**Crystal system**: cubic
**Energy**: -3.793 eV/atom
**Density of states at the Fermi level**: 3.73 states/eV per cell

Lattice parameters (Å, degrees): 5.1835 5.1835 5.1835 90.00 90.00 90.00
Fractional positions:
Tc (0.0000, 0.0000, 0.0000)
Ag (0.5000, 0.5000, 0.5000)
In (0.0000, 0.5000, 0.0000)
In (0.0000, 0.0000, 0.5000)
In (0.5000, 0.0000, 0.0000)



No. 3
In2TcAg: optimized geometry, PBE.

Summary:
**Spin magnetization**: 0.000 μB per cell
**Symmetry**: R-3m, No. 166
**Volume**: 77 Å³ per cell
**Crystal system**: trigonal
**Energy**: -4.403 eV/atom
**Density of states at the Fermi level**: 2.20 states/eV per cell

Lattice parameters (Å, degrees): 9.4129 9.4129 9.4129 18.97 18.97 18.97
Fractional positions:
Ag (0.7500, 0.7500, 0.7500)
In (0.9952, 0.9952, 0.9952)
In (0.5048, 0.5048, 0.5048)
Tc (0.2500, 0.2500, 0.2500)